Here is a relaxed HoTlIn2 crystal from Alexandria. Energies are from PBE.

It has space group C2/m (No. 12), with a = 11.088 Å, b = 4.526 Å, c = 4.526 Å, α = 90.00°, β = 113.98° and γ = 90.00°. The inequivalent atoms are Ho at (0.000, 0.000, 0.000), Tl at (0.000, 0.500, 0.500) and In at (0.250, 0.000, 0.750).

The total magnetization comes out at 0.00 μB/cell. The calculation puts the calculated formation energy at -270 meV/atom.



Here is a relaxed GeTeSeBr2 crystal from Alexandria. Energies are from PBE.

It has space group P4/mmm (No. 123), with a = 5.134 Å, b = 5.134 Å, c = 5.492 Å, α = 90.00°, β = 90.00° and γ = 90.00°. The inequivalent atoms are Ge at (0.000, 0.000, 0.000), Te at (0.500, 0.500, 0.500), Se at (0.000, 0.000, 0.500) and Br at (0.000, 0.500, 0.000).

The total magnetization comes out at 1.00 μB/cell. The calculation puts the formation energy without anion corrections at 0.2024 eV per atom.



Here is a relaxed BaP2Ir crystal from Alexandria. Energies are from PBE.

It has space group R-3m (No. 166, hexagonal axes), with a = 4.0928 Å, b = 4.0928 Å, c = 17.3004 Å, α = 90.00°, β = 90.00° and γ = 120.00°. The inequivalent atoms are Ba at (0.0000, 0.0000, 0.0000), P at (0.0000, 0.0000, 0.2074) and Ir at (0.0000, 0.0000, 0.5000).

The total magnetization comes out at 0.00 μB/cell. The calculation puts the calculated formation energy at -757 meV/atom.



Here is a relaxed ReMo2Cl crystal from Alexandria. Energies are from PBE.

It has space group P4mm (No. 99), with a = 2.969 Å, b = 2.969 Å, c = 7.138 Å, α = 90.00°, β = 90.00° and γ = 90.00°. The inequivalent atoms are Re at (0.000, 0.000, 0.000), Mo at (0.000, 0.000, 0.515), Mo at (0.500, 0.500, 0.777) and Cl at (0.500, 0.500, 0.284).

The total magnetization comes out at 0.00 μB/cell. The calculation puts the formation energy without anion corrections at 0.4704 eV per atom.



Here is a relaxed Pm3Zn2Sn3 crystal from Alexandria. Energies are from PBE.

It has space group Cmcm (No. 63), with a = 4.503 Å, b = 11.595 Å, c = 15.576 Å, α = 90.00°, β = 90.00° and γ = 90.00°. The inequivalent atoms are Pm at (0.000, 0.068, 0.111), Pm at (0.000, 0.349, 0.250), Zn at (0.000, 0.226, 0.609), Sn at (0.000, 0.371, 0.041) and Sn at (0.000, 0.371, 0.750).

The total magnetization comes out at 1.95 μB/cell. The calculation puts the calculated formation energy at -611 meV/atom.



Here is a relaxed CsRbNa2 crystal from Alexandria. Energies are from PBE.

It has space group Immm (No. 71), with a = 15.251 Å, b = 15.907 Å, c = 21.667 Å, α = 90.00°, β = 90.00° and γ = 90.00°. The inequivalent atoms are Cs at (0.000, 0.000, 0.000), Rb at (0.000, 0.500, 0.000) and Na at (0.000, 0.256, 0.000).

The total magnetization comes out at 0.00 μB/cell. The calculation puts the calculated formation energy at 455 meV/atom.



Here is a relaxed Nd3PaAl8 crystal from Alexandria. Energies are from PBE.

It has space group P3m1 (No. 156), with a = 5.6166 Å, b = 5.6166 Å, c = 9.3185 Å, α = 90.00°, β = 90.00° and γ = 120.00°. The inequivalent atoms are Nd at (0.0000, 0.0000, 0.0000), Nd at (0.0000, 0.0000, 0.3671), Nd at (0.3333, 0.6667, 0.8581), Pa at (0.3333, 0.6667, 0.5028), Al at (0.0083, 0.5042, 0.1870), Al at (0.3270, 0.1635, 0.6778), Al at (0.6667, 0.3333, 0.4335) and Al at (0.6667, 0.3333, 0.9378).

The total magnetization comes out at 0.00 μB/cell. The calculation puts the calculated formation energy at -410 meV/atom.



Here is a relaxed Nd4Se3O4 crystal from Alexandria. Energies are from PBE.

It has space group Amm2 (No. 38), with a = 8.488 Å, b = 4.037 Å, c = 13.054 Å, α = 90.00°, β = 90.00° and γ = 90.00°. The inequivalent atoms are Nd at (0.000, 0.000, 0.000), Nd at (0.239, 0.000, 0.680), Nd at (0.500, 0.000, 0.013), Se at (0.000, 0.000, 0.314), Se at (0.349, 0.000, 0.352), O at (0.000, 0.000, 0.588), O at (0.245, 0.000, 0.086) and O at (0.500, 0.000, 0.611).

The total magnetization comes out at 0.00 μB/cell. The calculation puts the formation energy without anion corrections at -2.7554 eV per atom.



Here is a relaxed AlIn4Pb crystal from Alexandria. Energies are from PBE.

It has space group F-43m (No. 216), with a = 8.761 Å, b = 8.761 Å, c = 8.761 Å, α = 90.00°, β = 90.00° and γ = 90.00°. The inequivalent atoms are Al at (0.000, 0.000, 0.000), In at (0.125, 0.125, 0.625) and Pb at (0.250, 0.250, 0.250).

The total magnetization comes out at 0.00 μB/cell. The calculation puts the calculated formation energy at 231 meV/atom.



Here is a relaxed TbPrHg crystal from Alexandria. Energies are from PBE.

It has space group Pnma (No. 62), with a = 7.370 Å, b = 3.754 Å, c = 12.862 Å, α = 90.00°, β = 90.00° and γ = 90.00°. The inequivalent atoms are Tb at (0.117, 0.250, 0.104), Pr at (0.133, 0.250, 0.410) and Hg at (0.125, 0.250, 0.741).

The total magnetization comes out at 0.00 μB/cell. The calculation puts the calculated formation energy at -305 meV/atom.



Here is a relaxed PmCr2Si2C crystal from Alexandria. Energies are from PBE.

It has space group P4/mmm (No. 123), with a = 3.987 Å, b = 3.987 Å, c = 5.347 Å, α = 90.00°, β = 90.00° and γ = 90.00°. The inequivalent atoms are Pm at (0.000, 0.000, 0.000), Cr at (0.000, 0.500, 0.500), Si at (0.500, 0.500, 0.231) and C at (0.000, 0.000, 0.500).

The total magnetization comes out at 1.47 μB/cell. The calculation puts the formation energy without anion corrections at -0.4543 eV per atom.



Here is a relaxed La6CdNi crystal from Alexandria. Energies are from PBE.

It has space group C2/m (No. 12), with a = 7.126 Å, b = 10.495 Å, c = 6.800 Å, α = 90.00°, β = 101.28° and γ = 90.00°. The inequivalent atoms are La at (0.130, 0.197, 0.274), La at (0.216, 0.500, 0.101), Cd at (0.000, 0.500, 0.500) and Ni at (0.000, 0.000, 0.500).

The total magnetization comes out at 0.00 μB/cell. The calculation puts the calculated formation energy at -113 meV/atom.